(1)
This record from the Alexandria database describes ZrTe2Pd after structural relaxation. The functional is PBE.

Cell lengths 9.107, 9.107, 9.107 Å; angles 24.65, 24.65, 24.65 degrees
Fractional positions:
Te (0.903, 0.903, 0.903)
Te (0.097, 0.097, 0.097)
Zr (0.500, 0.500, 0.500)
Pd (0.000, 0.000, 0.000)

Properties
The total energy is -5.4171 eV/atom. As for the relative energy among the computed polymorphs: 369.6 meV/atom. The formation energy from raw total energies comes out at -0.41 eV/atom.

(2)
This record from the Alexandria database describes Ca4SmTl2 after structural relaxation. The functional is PBE.

Cell lengths 5.455, 5.455, 10.796 Å; angles 75.37, 75.37, 60.00 degrees
Fractional positions:
Ca (0.704, 0.704, 0.887)
Ca (0.899, 0.899, 0.302)
Ca (0.296, 0.296, 0.113)
Ca (0.101, 0.101, 0.698)
Sm (0.500, 0.500, 0.500)
Tl (0.599, 0.599, 0.203)
Tl (0.401, 0.401, 0.797)

Properties
The total energy is -2.5466 eV/atom.

(3)
This record from the Alexandria database describes YSc2Se after structural relaxation. The functional is PBE.

Cell lengths 6.158, 6.158, 6.158 Å; angles 147.08, 129.13, 61.94 degrees
Last column: magnetic moment on the atom in μB.
Fractional positions:
Sc (0.996, 0.996, 0.000)  0.07
Sc (0.706, 0.206, 0.500)  0.00
Se (0.509, 0.509, 0.000)  0.00
Y (0.289, 0.789, 0.500)  0.00

Properties
The total energy is -6.2133 eV/atom. The formation energy from raw total energies comes out at -0.56 eV/atom.

(4)
This record from the Alexandria database describes BP2Pt after structural relaxation. The functional is PBE.

Cell lengths 5.126, 5.126, 5.818 Å; angles 63.86, 63.86, 90.00 degrees
Fractional positions:
P (0.567, 0.125, 0.250)
P (0.183, 0.625, 0.250)
P (0.375, 0.433, 0.750)
P (0.875, 0.817, 0.750)
B (0.500, 0.500, 0.000)
B (0.250, 0.750, 0.500)
Pt (0.000, 0.000, 0.000)
Pt (0.750, 0.250, 0.500)

Properties
The total energy is -6.1240 eV/atom.

no.,theoretical density (g/cm³),V (A^3/atom)
1,6.5,28.89
2,4.5,38.02
3,4.4,24.37
4,7.4,14.95